KCaCd3 after structural relaxation, computed with PBE.

Values from the calculation:
The value obtained for the energy relative to the elements is 474 meV/atom. Its total magnetization is 0.000 μB per atom. The value obtained for the total energy is -0.695 eV per atom. Its space-group type is Pm-3m.

```
KCaCd3
1.0
5.930 0.000 0.000
0.000 5.930 0.000
0.000 0.000 5.930
K Ca Cd
1 1 3
Direct
0.000 0.000 0.000
0.500 0.500 0.500
0.000 0.500 0.000
0.500 0.000 0.000
0.000 0.000 0.500
```



FeSiAu2Br after structural relaxation, computed with PBE.

Values from the calculation:
Its total magnetization is 0.585 μB per atom. Its raw formation energy is 82 kJ/mol of atoms. The value obtained for the total energy is -3.572 eV per atom. Its space-group type is P4/mmm.

```
FeSiAu2Br
1.0
-3.994 2.642 -1.447
-2.554 -2.138 3.143
1.137 3.548 3.338
Si Br Fe Au
1 1 1 2
Direct
0.500 0.500 0.500
0.000 0.500 0.000
0.000 0.000 0.000
0.000 0.000 0.500
0.500 0.000 0.000
```